NiSeCl2: PBEsol geometry, SCAN.

```
data_NiSeCl2
_space_group_name_H-M_alt 'P m m m'
_space_group_IT_number 47
_cell_length_a 3.085
_cell_length_b 4.012
_cell_length_c 5.909
_cell_angle_alpha 90.00
_cell_angle_beta 90.00
_cell_angle_gamma 90.00
loop_
_space_group_symop_operation_xyz
'x,y,z'
'-x,-y,-z'
'-x,-y,z'
'x,y,-z'
'x,-y,-z'
'-x,y,z'
'-x,y,-z'
'x,-y,z'
loop_
_atom_site_label
_atom_site_type_symbol
_atom_site_fract_x
_atom_site_fract_y
_atom_site_fract_z
_atom_site_occupancy
Ni1 Ni 0.000 0.000 0.000 1
Se1 Se 0.500 0.000 0.500 1
Cl1 Cl 0.000 0.500 0.500 1
Cl2 Cl 0.500 0.500 0.000 1
```

Properties
Its excess energy over the best structure of this formula in the dataset is 642.9 meV/atom. For the uncorrected energy, the calculation gives -12.86 eV/atom. The calculation puts the volume at 18.3 Å³ per atom. For the density, the calculation gives 4.7 g/cm3. Its uncorrected formation energy is 0.775 eV per formula unit.